A crystal of Al3Tc relaxed with PBEsol. Source: Alexandria, functional meta-GGA SCAN.

```
data_Al3Tc
_chemical_formula_sum 'Al3 Tc1'
_cell_length_a 2.779
_cell_length_b 4.442
_cell_length_c 4.700
_cell_angle_alpha 90.00
_cell_angle_beta 90.00
_cell_angle_gamma 90.00
_symmetry_space_group_name_H-M 'P m m 2'
_symmetry_Int_Tables_number 25
_symmetry_space_group_name_Hall 'P 2 -2'
loop_
_atom_site_label
_atom_site_type_symbol
_atom_site_fract_x
_atom_site_fract_y
_atom_site_fract_z
Al1 Al 0.000 0.000 0.000
Al2 Al 0.000 0.500 0.333
Al3 Al 0.500 0.000 0.508
Tc1 Tc 0.500 0.500 0.826
```

- Energy of formation: -0.33 eV/atom
- Calculated density: 5.1 g cm⁻³